a) The following is a DFT calculation (PBE-GGA) of a geometry-optimized In3SiBr structure.

Lattice parameters (Å, degrees): 5.412 5.412 5.412 90.00 90.00 90.00
Space group Pm-3m (No. 221)
Asymmetric unit:
In 0.000 0.000 0.500 [3 per cell]
Si 0.000 0.000 0.000 [1 per cell]
Br 0.500 0.500 0.500 [1 per cell]

## Properties
Total magnetic moment, μB/atom: 0.000

b) The following is a DFT calculation (PBE-GGA) of a geometry-optimized In3SiBr structure.

Lattice parameters (Å, degrees): 5.786 5.786 5.786 90.00 90.00 90.00
Space group Pm-3m (No. 221)
Asymmetric unit:
In 0.000 0.000 0.500 [3 per cell]
Si 0.500 0.500 0.500 [1 per cell]
Br 0.000 0.000 0.000 [1 per cell]

## Properties
Total magnetic moment, μB/atom: 0.000

Most stable: a) (next structure +618 meV/atom)

a) The following is a DFT calculation (PBE-GGA) of a geometry-optimized InSiBr2 structure.

Lattice parameters (Å, degrees): 14.805 3.789 5.020 90.00 109.76 90.00
Space group C2/m (No. 12)
Asymmetric unit:
In 0.000 0.000 0.000 [2 per cell]
Si 0.000 0.500 0.500 [2 per cell]
Br 0.146 0.000 0.646 [4 per cell]

## Properties
Total magnetic moment, μB/atom: 0.000

b) The following is a DFT calculation (PBE-GGA) of a geometry-optimized InSiBr2 structure.

Lattice parameters (Å, degrees): 7.598 7.610 3.681 90.00 90.00 90.00
Space group Cmmm (No. 65)
Asymmetric unit:
In 0.000 0.000 0.000 [2 per cell]
Si 0.000 0.500 0.000 [2 per cell]
Br 0.250 0.250 0.500 [4 per cell]

## Properties
Total magnetic moment, μB/atom: 0.001

c) The following is a DFT calculation (PBE-GGA) of a geometry-optimized InSiBr2 structure.

Lattice parameters (Å, degrees): 16.312 3.688 4.283 90.00 103.63 90.00
Space group Cm (No. 8)
Asymmetric unit:
In 0.000 0.000 0.000 [2 per cell]
Si 0.355 0.000 0.892 [2 per cell]
Br 0.084 0.500 0.586 [2 per cell]
Br 0.320 0.500 0.288 [2 per cell]

## Properties
Total magnetic moment, μB/atom: 0.000

Most stable: a) (next structure +60 meV/atom)

a) The following is a DFT calculation (PBE-GGA) of a geometry-optimized InSn4Br8 structure.

Lattice parameters (Å, degrees): 9.0719 9.0719 21.7455 90.00 90.00 120.00
Space group R-3m (No. 166, hexagonal axes)
Asymmetric unit:
In 0.0000 0.0000 0.0000 [3 per cell]
Sn 0.0000 0.0000 0.5000 [3 per cell]
Sn 0.0000 0.5000 0.5000 [9 per cell]
Br 0.0000 0.0000 0.2377 [6 per cell]
Br 0.0035 0.5017 0.2403 [18 per cell]

## Properties
Total magnetic moment, μB/atom: 0.000

b) The following is a DFT calculation (PBE-GGA) of a geometry-optimized InSn4Br8 structure.

Lattice parameters (Å, degrees): 13.022 13.022 13.022 90.00 90.00 90.00
Space group F-43m (No. 216)
Asymmetric unit:
In 0.000 0.000 0.000 [4 per cell]
Sn 0.122 0.122 0.378 [16 per cell]
Br 0.110 0.110 0.610 [16 per cell]
Br 0.140 0.140 0.140 [16 per cell]

## Properties
Total magnetic moment, μB/atom: 0.000

Most stable: a) (next structure +15 meV/atom)

a) The following is a DFT calculation (PBE-GGA) of a geometry-optimized In2SnBr4 structure.

Lattice parameters (Å, degrees): 7.731 8.474 16.623 90.00 90.00 90.00
Space group Pbca (No. 61)
Asymmetric unit:
In 0.009 0.091 0.149 [8 per cell]
Sn 0.000 0.000 0.500 [4 per cell]
Br 0.107 0.035 0.672 [8 per cell]
Br 0.185 0.196 0.963 [8 per cell]

## Properties
Total magnetic moment, μB/atom: 0.000

b) The following is a DFT calculation (PBE-GGA) of a geometry-optimized In2SnBr4 structure.

Lattice parameters (Å, degrees): 5.875 5.875 16.181 90.00 90.00 90.00
Space group I4/mmm (No. 139)
Asymmetric unit:
In 0.000 0.000 0.136 [4 per cell]
Sn 0.000 0.000 0.500 [2 per cell]
Br 0.000 0.000 0.318 [4 per cell]
Br 0.000 0.500 0.000 [4 per cell]

## Properties
Total magnetic moment, μB/atom: 0.000

c) The following is a DFT calculation (PBE-GGA) of a geometry-optimized In2SnBr4 structure.

Lattice parameters (Å, degrees): 16.360 4.398 8.860 90.00 119.94 90.00
Space group C2/m (No. 12)
Asymmetric unit:
In 0.208 0.000 0.188 [4 per cell]
Sn 0.000 0.500 0.500 [2 per cell]
Br 0.120 0.500 0.889 [4 per cell]
Br 0.128 0.000 0.502 [4 per cell]

## Properties
Total magnetic moment, μB/atom: 0.000

Most stable: a) (next structure +7 meV/atom)

a) The following is a DFT calculation (PBE-GGA) of a geometry-optimized InSnBr2 structure.

Lattice parameters (Å, degrees): 3.8377 3.8377 31.2984 90.00 90.00 120.00
Space group R-3m (No. 166, hexagonal axes)
Asymmetric unit:
In 0.0000 0.0000 0.0000 [3 per cell]
Sn 0.0000 0.0000 0.5000 [3 per cell]
Br 0.0000 0.0000 0.0984 [6 per cell]

## Properties
Total magnetic moment, μB/atom: 0.000

b) The following is a DFT calculation (PBE-GGA) of a geometry-optimized InSnBr2 structure.

Lattice parameters (Å, degrees): 8.691 8.691 6.964 90.00 90.00 90.00
Space group I-42d (No. 122)
Asymmetric unit:
In 0.000 0.000 0.000 [4 per cell]
Sn 0.000 0.000 0.500 [4 per cell]
Br 0.221 0.250 0.625 [8 per cell]

## Properties
Total magnetic moment, μB/atom: 0.000

Most stable: b) (next structure +43 meV/atom)

a) The following is a DFT calculation (PBE-GGA) of a geometry-optimized In2Sn2Br structure.

Lattice parameters (Å, degrees): 8.641 8.641 4.008 90.00 90.00 90.00
Space group P4/mbm (No. 127)
Asymmetric unit:
In 0.181 0.319 0.000 [4 per cell]
Sn 0.121 0.621 0.500 [4 per cell]
Br 0.000 0.000 0.000 [2 per cell]

## Properties
Total magnetic moment, μB/atom: 0.000

b) The following is a DFT calculation (PBE-GGA) of a geometry-optimized In2Sn2Br structure.

Lattice parameters (Å, degrees): 8.881 8.881 3.633 90.00 90.00 90.00
Space group P4/mbm (No. 127)
Asymmetric unit:
In 0.144 0.356 0.000 [4 per cell]
Sn 0.156 0.656 0.500 [4 per cell]
Br 0.000 0.000 0.500 [2 per cell]

## Properties
Total magnetic moment, μB/atom: 0.000

c) The following is a DFT calculation (PBE-GGA) of a geometry-optimized In2Sn2Br structure.

Lattice parameters (Å, degrees): 4.389 4.389 15.588 90.00 90.00 90.00
Space group I4/mmm (No. 139)
Asymmetric unit:
In 0.000 0.000 0.094 [4 per cell]
Sn 0.000 0.500 0.250 [4 per cell]
Br 0.000 0.000 0.500 [2 per cell]

## Properties
Total magnetic moment, μB/atom: 0.000

d) The following is a DFT calculation (PBE-GGA) of a geometry-optimized In2Sn2Br structure.

Lattice parameters (Å, degrees): 4.939 4.939 12.624 90.00 90.00 90.00
Space group I4/mmm (No. 139)
Asymmetric unit:
In 0.000 0.500 0.250 [4 per cell]
Sn 0.000 0.000 0.114 [4 per cell]
Br 0.000 0.000 0.500 [2 per cell]

## Properties
Total magnetic moment, μB/atom: 0.000

Most stable: c) (next structure +39 meV/atom)